Record 1
This record from Alexandria via LeMat-Bulk describes crystalline Cr2RhO4 at its relaxed geometry. The functional is PBE with a Hubbard U.

The calculation puts the density of states at the Fermi level at 0.031 states/eV/atom. The spin magnetization comes out at 72.2 Bohr magnetons per cell. The uncorrected energy is -410.77 eV for the cell shown. Its crystal system is cubic.

It has space group Fd-3m (No. 227, origin choice 2), with a = 8.702 Å, b = 8.702 Å, c = 8.702 Å, α = 90.00°, β = 90.00° and γ = 90.00°. Symmetry generates all atoms from Cr at (0.000, 0.000, 0.000), Rh at (0.125, 0.125, 0.625) and O at (0.016, 0.016, 0.234).


Record 2
This record from Alexandria via LeMat-Bulk describes crystalline VAsNO2 at its relaxed geometry. The functional is PBE with a Hubbard U.

The calculation puts the density of states at the Fermi level at 0.619 states/eV/atom. The spin magnetization comes out at 2.7 Bohr magnetons per cell. The uncorrected energy is -30.57 eV for the cell shown. Its crystal system is tetragonal.

It has space group P4/mmm (No. 123), with a = 3.753 Å, b = 3.753 Å, c = 3.791 Å, α = 90.00°, β = 90.00° and γ = 90.00°. Symmetry generates all atoms from V at (0.000, 0.000, 0.000), As at (0.500, 0.500, 0.500), N at (0.500, 0.500, 0.000) and O at (0.000, 0.500, 0.500).